Below is a geometry-optimized ThOsPt structure, with properties calculated at the PBE level.

```
3
Lattice="0.000 3.254 3.254 3.254 0.000 3.254 3.254 3.254 0.000" Properties=species:S:1:pos:R:3 pbc="T T T"
Pt 1.627 1.627 1.627
Th 4.882 4.882 4.882
Os 0.000 0.000 0.000
```

Values from the calculation:
- Energy relative to the lowest polymorph listed for this composition: 0.00 eV per formula unit
- SG: F-43m, No. 216
- Total magnetic moment: 0.3 μB per formula unit

Below is a geometry-optimized La2Cd4AgPt structure, with properties calculated at the PBE level.

```
8
Lattice="-3.495 -7.515 -1.568 5.032 -2.072 -1.286 4.016 -2.491 2.989" Properties=species:S:1:pos:R:3 pbc="T T T"
Cd 4.988 -9.919 0.212
Cd 7.071 -5.441 1.146
Cd -1.150 -5.883 -0.850
Cd 0.225 -2.928 -0.234
La 2.169 -5.733 -0.047
La 5.121 -2.583 0.963
Ag 2.490 -1.256 0.468
Pt 4.792 -7.056 0.447
```

Values from the calculation:
- SG: Amm2, No. 38
- Total magnetic moment: 0.0 μB per formula unit

Below is a geometry-optimized ScZnPd structure, with properties calculated at the PBE level.

```
12
Lattice="6.415 0.000 0.000 0.000 4.113 0.000 0.000 0.000 7.922" Properties=species:S:1:pos:R:3 pbc="T T T"
Zn 1.510 3.085 4.872
Zn 4.717 3.085 7.011
Zn 4.905 1.028 3.050
Zn 1.698 1.028 0.911
Pd 4.326 1.028 0.532
Pd 2.089 3.085 7.390
Pd 5.296 3.085 4.493
Pd 1.119 1.028 3.429
Sc 2.971 3.085 2.391
Sc 0.236 1.028 6.352
Sc 3.444 1.028 5.531
Sc 6.179 3.085 1.570
```

Values from the calculation:
- SG: Pnma, No. 62
- Total magnetic moment: 0.0 μB per formula unit

Energy of formation from the pure elements: -0.01; -4.07; -1.96 (eV/f.u.)